No. 1
CoNi2Pt | PBE-GGA | relaxed Values from VASP.

Values from the calculation:
As for the space-group type: No. 6.

```
&SYSTEM
  ibrav = 0, nat = 4, ntyp = 3
/
ATOMIC_SPECIES
Co 58.93 Co.upf
Ni 58.69 Ni.upf
Pt 195.08 Pt.upf
ATOMIC_POSITIONS angstrom
Co 0.000 0.000 0.000
Ni 1.308 1.808 1.209
Ni 2.615 0.000 2.426
Pt 1.303 1.808 3.812
CELL_PARAMETERS angstrom
2.620 0.000 0.000
0.000 3.616 0.000
-0.008 0.000 5.181
```

---

No. 2
Co6Ni3Pt2 | PBE-GGA | relaxed Values from VASP.

Values from the calculation:
As for the space-group type: No. 65.

```
&SYSTEM
  ibrav = 0, nat = 11, ntyp = 3
/
ATOMIC_SPECIES
Co 58.93 Co.upf
Ni 58.69 Ni.upf
Pt 195.08 Pt.upf
ATOMIC_POSITIONS angstrom
Co 2.463 1.948 0.000
Co 4.434 4.141 0.000
Co 2.463 -1.948 0.000
Co 6.404 1.948 0.000
Co 4.434 -4.141 0.000
Co 6.404 -1.948 0.000
Ni 4.434 2.103 1.297
Ni 4.434 0.000 0.000
Ni 4.434 -2.103 1.297
Pt 1.415 0.000 1.297
Pt 7.452 0.000 1.297
CELL_PARAMETERS angstrom
4.434 -6.060 0.000
4.434 6.060 0.000
0.000 0.000 2.595
```

---

No. 3
Co4Ni3Pt3 | PBE-GGA | relaxed Values from VASP.

Values from the calculation:
As for the space-group type: No. 38.

```
&SYSTEM
  ibrav = 0, nat = 10, ntyp = 3
/
ATOMIC_SPECIES
Co 58.93 Co.upf
Ni 58.69 Ni.upf
Pt 195.08 Pt.upf
ATOMIC_POSITIONS angstrom
Co 0.000 0.000 0.000
Co 0.000 0.000 2.369
Co 0.000 -1.199 5.787
Co 0.000 1.199 5.787
Ni 0.000 -2.620 3.603
Ni 0.000 2.620 3.603
Ni 1.336 0.000 4.236
Pt 1.336 -3.284 6.066
Pt 1.336 0.000 7.602
Pt 1.336 3.284 6.066
CELL_PARAMETERS angstrom
2.672 0.000 0.000
0.000 5.124 4.853
0.000 -5.124 4.853
```

---

No. 4
Co15Ni2Pt2 | PBE-GGA | relaxed Values from VASP.

Values from the calculation:
As for the space-group type: No. 166.

```
&SYSTEM
  ibrav = 0, nat = 19, ntyp = 3
/
ATOMIC_SPECIES
Co 58.93 Co.upf
Ni 58.69 Ni.upf
Pt 195.08 Pt.upf
ATOMIC_POSITIONS angstrom
Co -4.062 0.000 6.210
Co -1.326 -2.394 4.140
Co -2.031 1.172 2.070
Co -2.736 0.049 4.140
Co -1.967 -1.136 6.130
Co 1.326 -2.394 4.140
Co -1.410 2.345 4.140
Co 0.000 -2.272 6.290
Co -1.967 1.136 6.290
Co 2.031 1.172 2.070
Co 1.967 -1.136 6.130
Co 0.000 2.272 6.130
Co 2.736 0.049 4.140
Co 1.410 2.345 4.140
Co 1.967 1.136 6.290
Ni 0.000 0.000 4.913
Ni 0.000 0.000 7.507
Pt 0.000 0.000 1.279
Pt 0.000 0.000 11.141
CELL_PARAMETERS angstrom
4.062 2.345 4.140
-4.062 2.345 4.140
0.000 -4.690 4.140
```

---

No. 5
Co2Ni2Pt7 | PBE-GGA | relaxed Values from VASP.

Values from the calculation:
As for the space-group type: No. 2. The relative energy among the computed polymorphs comes out at 0 meV per atom.

```
&SYSTEM
  ibrav = 0, nat = 11, ntyp = 3
/
ATOMIC_SPECIES
Co 58.93 Co.upf
Ni 58.69 Ni.upf
Pt 195.08 Pt.upf
ATOMIC_POSITIONS angstrom
Co 0.376 1.250 0.235
Co 1.831 2.693 5.284
Ni -1.237 1.036 3.765
Ni 3.444 2.907 1.754
Pt 0.366 -0.604 2.203
Pt -0.551 3.534 4.275
Pt 1.046 3.770 0.709
Pt 1.104 1.971 2.759
Pt 1.161 0.173 4.810
Pt 2.758 0.409 1.244
Pt 1.841 4.547 3.316
CELL_PARAMETERS angstrom
4.681 0.000 0.000
-0.886 6.046 0.000
-1.588 -2.103 5.519
```

---

No. 6
CoNi4Pt3 | PBE-GGA | relaxed Values from VASP.

Values from the calculation:
As for the space-group type: No. 123. The relative energy among the computed polymorphs comes out at 0 meV per atom.

```
&SYSTEM
  ibrav = 0, nat = 8, ntyp = 3
/
ATOMIC_SPECIES
Co 58.93 Co.upf
Ni 58.69 Ni.upf
Pt 195.08 Pt.upf
ATOMIC_POSITIONS angstrom
Co 0.000 0.000 0.000
Ni 1.341 1.341 1.582
Ni 1.341 1.341 5.309
Ni 1.341 1.341 8.993
Ni 1.341 1.341 12.720
Pt 0.000 0.000 3.457
Pt 0.000 0.000 7.151
Pt 0.000 0.000 10.844
CELL_PARAMETERS angstrom
2.682 0.000 0.000
0.000 2.682 0.000
0.000 0.000 14.302
```

---

Number 1: calculated formation energy -52.8 meV per atom, volume 49.1 Å³ per cell, total magnetic moment 3.5 μB/cell. Number 2: calculated formation energy 240.6 meV per atom, volume 139.4 Å³ per cell, total magnetic moment 13.2 μB/cell. Number 3: calculated formation energy 181.5 meV per atom, volume 132.9 Å³ per cell, total magnetic moment 10.2 μB/cell. Number 4: calculated formation energy 214.8 meV per atom, volume 236.6 Å³ per cell, total magnetic moment 28.2 μB/cell. Number 5: calculated formation energy -81.1 meV per atom, volume 156.2 Å³ per cell, total magnetic moment 7.8 μB/cell. Number 6: calculated formation energy -54.3 meV per atom, volume 102.9 Å³ per cell, total magnetic moment 1.2 μB/cell.